Crystalline SmGaFeO4 at its relaxed geometry. Source: Alexandria, functional GGA+U.

Structure (CIF):
```
data_SmGaFeO4
_chemical_formula_sum 'Sm2 Ga2 Fe2 O8'
_space_group_name_H-M_alt 'P 1'
_space_group_IT_number 1
_cell_length_a 6.2740
_cell_length_b 6.3525
_cell_length_c 6.3525
_cell_angle_alpha 62.74
_cell_angle_beta 60.41
_cell_angle_gamma 60.41
loop_
_space_group_symop_operation_xyz
'x,y,z'
loop_
_atom_site_label
_atom_site_fract_x
_atom_site_fract_y
_atom_site_fract_z
Sm1 0.0000 0.0000 0.0000
Sm2 0.0000 0.5000 0.5000
Ga1 0.6206 0.6294 0.1294
Ga2 0.3794 0.3706 0.8706
Fe1 0.5000 0.0000 0.5000
Fe2 0.0000 0.0000 0.5000
O1 0.7373 0.7593 0.7660
O2 0.2627 0.7340 0.7407
O3 0.7373 0.2660 0.2593
O4 0.2627 0.2407 0.2340
O5 0.2495 0.7578 0.2578
O6 0.7350 0.7578 0.2578
O7 0.2650 0.2422 0.7422
O8 0.7505 0.2422 0.7422
```

Calculated values
- N(E_F): 0.0 states/eV/f.u.
- Symmetry: Imma (74)
- Total moment: 4.0 μB per formula unit
- ρ: 6.1 g cm⁻³
- Uncorrected energy: -6.9183 eV/atom
- V: 183.6 Å³/cell